(1)
Ho8AlNi2: optimized geometry, PBE.

V = 285.92 Å³/f.u.
Electronic total energy = -4.8641 eV/atom

a b c (Å): 7.850 7.850 5.249
angles (deg): 97.93 97.93 113.95
Fractional positions:
Ho  0.074  0.328  0.576
Ho  0.245  0.755  0.000
Ho  0.328  0.074  0.576
Ho  0.386  0.386  0.192
Ho  0.614  0.614  0.808
Ho  0.672  0.926  0.424
Ho  0.755  0.245  0.000
Ho  0.926  0.672  0.424
Al  0.000  0.000  0.000
Ni  0.307  0.693  0.500
Ni  0.693  0.307  0.500

---

(2)
SrNiGe2Pd: optimized geometry, PBE.

V = 96.95 Å³/f.u.
Electronic total energy = -4.9644 eV/atom

a b c (Å): 4.331 4.331 10.338
angles (deg): 90.00 90.00 90.00
Fractional positions:
Sr  0.000  0.000  0.000
Sr  0.500  0.500  0.500
Ni  0.000  0.500  0.750
Ni  0.500  0.000  0.250
Ge  0.000  0.000  0.366
Ge  0.000  0.000  0.634
Ge  0.500  0.500  0.134
Ge  0.500  0.500  0.866
Pd  0.000  0.500  0.250
Pd  0.500  0.000  0.750

---

So what do the calculations give for ΔH_f (0 K)? Going down the list: -0.143; -0.586 eV per atom.